# 1
A relaxed structure of TaFePb2. Source: Alexandria via LeMat-Bulk, functional PBE-GGA. Values from VASP.

Results
The energy above the most stable polymorph in this dataset is 516 meV per atom. The value obtained for the formation energy is 295 kJ/mol of formula units. The value obtained for the total energy is -6.17 eV/atom. As for the calculated volume: 83.56 Å³ per cell.

Geometry as Quantum ESPRESSO input:
```
&SYSTEM
  ibrav = 0, nat = 4, ntyp = 3
/
ATOMIC_SPECIES
Fe 55.84 Fe.upf
Pb 207.20 Pb.upf
Ta 180.95 Ta.upf
CELL_PARAMETERS angstrom
-2.7730 -2.8364 1.8336
1.2711 -2.3422 -1.7008
4.4275 -1.8459 3.8403
ATOMIC_POSITIONS angstrom
Fe 2.8875 -4.5592 2.5215
Pb 5.5742 -4.0102 2.2266
Pb 2.9737 -2.2719 0.9828
Ta 0.0382 -2.4652 1.4517
```

=====

# 2
A relaxed structure of TaFe2Pb. Source: Alexandria via LeMat-Bulk, functional PBE-GGA. Values from VASP.

Results
The value obtained for the formation energy is 185 kJ/mol of formula units. The value obtained for the total energy is -7.64 eV/atom. As for the calculated volume: 69.02 Å³ per cell.

Geometry as Quantum ESPRESSO input:
```
&SYSTEM
  ibrav = 0, nat = 4, ntyp = 3
/
ATOMIC_SPECIES
Fe 55.84 Fe.upf
Pb 207.20 Pb.upf
Ta 180.95 Ta.upf
CELL_PARAMETERS angstrom
2.9496 0.0427 0.0000
-0.8913 2.8120 0.0000
0.0000 0.0000 8.2831
ATOMIC_POSITIONS angstrom
Fe 0.0000 0.0000 8.1111
Fe 0.0000 0.0000 4.3135
Pb 1.0292 1.4274 2.0708
Ta 1.0292 1.4274 6.2123
```

=====

# 3
A relaxed structure of TaFe2Pb. Source: Alexandria via LeMat-Bulk, functional PBE-GGA. Values from VASP.

Results
The value obtained for the formation energy is 187 kJ/mol of formula units. The value obtained for the total energy is -7.64 eV/atom. As for the calculated volume: 69.12 Å³ per cell.

Geometry as Quantum ESPRESSO input:
```
&SYSTEM
  ibrav = 0, nat = 4, ntyp = 3
/
ATOMIC_SPECIES
Fe 55.84 Fe.upf
Pb 207.20 Pb.upf
Ta 180.95 Ta.upf
CELL_PARAMETERS angstrom
-3.7603 2.8232 -6.9321
-4.0477 -0.2617 -7.3289
-6.1174 1.2870 -5.5755
ATOMIC_POSITIONS angstrom
Fe -0.1183 0.0327 -0.1685
Fe -6.8445 1.8916 -9.7498
Pb -3.4814 0.9621 -4.9591
Ta -10.4441 2.8864 -14.8774
```

=====

# 4
A relaxed structure of TaFePb2. Source: Alexandria via LeMat-Bulk, functional PBE-GGA. Values from VASP.

Results
The energy above the most stable polymorph in this dataset is 443 meV per atom. The value obtained for the formation energy is 267 kJ/mol of formula units. The value obtained for the total energy is -6.24 eV/atom. As for the calculated volume: 83.82 Å³ per cell.

Geometry as Quantum ESPRESSO input:
```
&SYSTEM
  ibrav = 0, nat = 4, ntyp = 3
/
ATOMIC_SPECIES
Fe 55.84 Fe.upf
Pb 207.20 Pb.upf
Ta 180.95 Ta.upf
CELL_PARAMETERS angstrom
-4.3744 -5.5831 -6.2741
-4.5275 -7.4694 -3.6581
-6.7594 -5.1853 -4.1344
ATOMIC_POSITIONS angstrom
Fe -11.7460 -13.6784 -10.5500
Pb -0.0718 -0.0836 -0.0645
Pb -7.7589 -9.0353 -6.9688
Ta -3.9153 -4.5595 -3.5167
```

=====

# 5
A relaxed structure of TaFe2Pb. Source: Alexandria via LeMat-Bulk, functional PBE-GGA. Values from VASP.

Results
The value obtained for the formation energy is 147 kJ/mol of formula units. The value obtained for the total energy is -7.74 eV/atom. As for the calculated volume: 61.09 Å³ per cell.

Geometry as Quantum ESPRESSO input:
```
&SYSTEM
  ibrav = 0, nat = 4, ntyp = 3
/
ATOMIC_SPECIES
Fe 55.84 Fe.upf
Pb 207.20 Pb.upf
Ta 180.95 Ta.upf
CELL_PARAMETERS angstrom
-2.1748 -3.5922 1.1820
3.6747 -1.6855 1.6391
-0.6571 1.3340 2.8450
ATOMIC_POSITIONS angstrom
Fe 0.0000 0.0000 0.0000
Fe 0.7499 -2.6388 1.4105
Pb -1.4160 -1.1291 2.0135
Ta 1.5088 -0.1758 2.2420
```

=====

# 6
A relaxed structure of TaFePb2. Source: Alexandria via LeMat-Bulk, functional PBE-GGA. Values from VASP.

Results
The energy above the most stable polymorph in this dataset is 493 meV per atom. The value obtained for the formation energy is 286 kJ/mol of formula units. The value obtained for the total energy is -6.19 eV/atom. As for the calculated volume: 82.01 Å³ per cell.

Geometry as Quantum ESPRESSO input:
```
&SYSTEM
  ibrav = 0, nat = 4, ntyp = 3
/
ATOMIC_SPECIES
Fe 55.84 Fe.upf
Pb 207.20 Pb.upf
Ta 180.95 Ta.upf
CELL_PARAMETERS angstrom
5.0026 0.0204 0.0000
-0.0177 5.0026 0.0000
0.0000 0.0000 3.2770
ATOMIC_POSITIONS angstrom
Fe -0.0088 2.5013 1.6385
Pb 0.0000 0.0000 0.0000
Pb 2.4925 2.5115 0.0000
Ta 2.5013 0.0102 1.6385
```

=====

| no. | size of the total moment (Bohr magnetons per cell) |
| --- | --- |
| 1 | 2.38 |
| 2 | 4.29 |
| 3 | 3.08 |
| 4 | 2.90 |
| 5 | 1.00 |
| 6 | 2.14 |